(1)
# KSi2P

A geometry-optimized KSi2P structure (PBE-GGA, Alexandria via LeMat-Bulk).

E_form (uncorrected)	0.10	eV/atom
uncorrected energy	-16.96	eV/cell

abc: 4.5610 4.5610 6.4090
angles: 79.45 79.45 43.62
Element x y z (fractional)
1 Si 0.7283 0.7283 0.8788
2 Si 0.9997 0.9997 0.9953
3 K 0.5033 0.5033 0.4948
4 P 0.2687 0.2687 0.1311



(2)
# KCrP2S

A geometry-optimized KCrP2S structure (PBE-GGA, Alexandria via LeMat-Bulk).

E_form (uncorrected)	1.88	eV/atom
uncorrected energy	-16.28	eV/cell

abc: 5.2343 5.2343 5.2972
angles: 90.00 90.00 90.00
Site moments in Bohr magnetons follow the coordinates.
Element x y z (fractional)
1 P 0.0000 0.5000 0.0000  -0.35
2 P 0.5000 0.0000 0.0000  -0.35
3 S 0.0000 0.0000 0.5000  -0.10
4 Cr 0.5000 0.5000 0.5000  4.14
5 K 0.0000 0.0000 0.0000  -0.03



(3)
# Np2BiRu

A geometry-optimized Np2BiRu structure (PBE-GGA, Alexandria via LeMat-Bulk).

uncorrected energy	-38.28	eV/cell

abc: 4.0353 4.0353 7.7113
angles: 74.83 74.83 60.00
Site moments in Bohr magnetons follow the coordinates.
Element x y z (fractional)
1 Ru 0.0000 0.0000 0.0000  -0.53
2 Np 0.7327 0.7327 0.8019  3.61
3 Np 0.2673 0.2673 0.1981  3.61
4 Bi 0.5000 0.5000 0.5000  -0.13



(4)
# LiCd5Ag

A geometry-optimized LiCd5Ag structure (PBE-GGA, Alexandria via LeMat-Bulk).

uncorrected energy	-7.73	eV/cell

abc: 5.1789 7.7027 7.0241
angles: 123.25 111.63 90.00
Element x y z (fractional)
1 Cd 0.6958 0.7423 0.4846
2 Cd 0.1480 0.5000 0.0000
3 Cd 0.4398 0.8184 0.0000
4 Cd 0.2112 0.2577 0.5154
5 Cd 0.4398 0.1816 0.0000
6 Li 0.6612 0.5000 0.0000
7 Ag 0.9350 0.0000 0.0000